No. 1
UGe3Te6 | PBE | optimized geometry

The value obtained for the volume is 30.5 Å³/atom. The formation energy from raw total energies comes out at -2.2 eV/f.u. As for the magnetization: 2.9 μB/cell. Its crystal system is monoclinic. For the final energy, the calculation gives -4.617 eV/atom. The calculation puts the density of states at the Fermi level at 16.3 states/eV per cell.

The structure belongs to space group P2_1/m (No. 11); the cell edges are 12.607, 4.064 and 12.750 Å and the angles 90.00°, 111.08° and 90.00°. Symmetry generates all atoms from U at (0.204, 0.250, 0.045), Ge at (0.058, 0.750, 0.311), Ge at (0.349, 0.250, 0.473), Ge at (0.369, 0.750, 0.830), Te at (0.029, 0.750, 0.899), Te at (0.125, 0.250, 0.470), Te at (0.212, 0.250, 0.793), Te at (0.244, 0.750, 0.241), Te at (0.394, 0.750, 0.063) and Te at (0.435, 0.750, 0.629).

---

No. 2
U3GeTe8 | PBE | optimized geometry

The value obtained for the volume is 32.3 Å³/atom. The formation energy from raw total energies comes out at -3.9 eV/f.u. As for the magnetization: 8.7 μB/cell. Its crystal system is hexagonal. For the final energy, the calculation gives -5.624 eV/atom. The calculation puts the density of states at the Fermi level at 47.4 states/eV per cell.

The structure belongs to space group P6_3mc (No. 186); the cell edges are 9.2213, 9.2213 and 10.5197 Å and the angles 90.00°, 90.00° and 120.00°. Symmetry generates all atoms from U at (0.1800, 0.3599, 0.0000), Ge at (0.3333, 0.6667, 0.2174), Te at (0.0000, 0.0000, 0.0778), Te at (0.0555, 0.5277, 0.5703), Te at (0.1626, 0.3253, 0.3101) and Te at (0.3333, 0.6667, 0.8324).

---

No. 3
UGeTe | PBE | optimized geometry

The value obtained for the volume is 29.2 Å³/atom. The formation energy from raw total energies comes out at -1.0 eV/f.u. As for the magnetization: 4.3 μB/cell. Its crystal system is trigonal. For the final energy, the calculation gives -6.683 eV/atom. The calculation puts the density of states at the Fermi level at 9.3 states/eV per cell.

The structure belongs to space group P-3m1 (No. 164); the cell edges are 4.2394, 4.2394 and 11.2492 Å and the angles 90.00°, 90.00° and 120.00°. Symmetry generates all atoms from U at (0.0000, 0.0000, 0.1776), Ge at (0.3333, 0.6667, 0.9795) and Te at (0.3333, 0.6667, 0.3401).

---

No. 4
UGe2Te6 | PBE | optimized geometry

The value obtained for the volume is 35.5 Å³/atom. The formation energy from raw total energies comes out at -1.0 eV/f.u. As for the magnetization: 7.9 μB/cell. Its crystal system is monoclinic. For the final energy, the calculation gives -4.491 eV/atom. The calculation puts the density of states at the Fermi level at 31.0 states/eV per cell.

The structure belongs to space group C2/c (No. 15); the cell edges are 14.269, 12.422 and 7.310 Å and the angles 90.00°, 99.33° and 90.00°. Symmetry generates all atoms from U at (0.000, 0.103, 0.250), Ge at (0.182, 0.427, 0.327), Te at (0.117, 0.398, 0.643), Te at (0.122, 0.077, 0.624) and Te at (0.133, 0.257, 0.118).

---

No. 5
UGeTe | PBE | optimized geometry

The value obtained for the volume is 24.6 Å³/atom. The formation energy from raw total energies comes out at -1.5 eV/f.u. As for the magnetization: 8.1 μB/cell. Its crystal system is tetragonal. For the final energy, the calculation gives -6.850 eV/atom. The calculation puts the density of states at the Fermi level at 23.7 states/eV per cell.

The structure belongs to space group I4/mmm (No. 139); the cell edges are 4.116, 4.116 and 17.424 Å and the angles 90.00°, 90.00° and 90.00°. Symmetry generates all atoms from U at (0.000, 0.000, 0.123), Ge at (0.000, 0.500, 0.000) and Te at (0.000, 0.000, 0.316).

---

No. 6
VGeTe3 | PBE | optimized geometry

The value obtained for the volume is 28.8 Å³/atom. The formation energy from raw total energies comes out at 1.8 eV/f.u. As for the magnetization: 1.9 μB/cell. Its crystal system is cubic. For the final energy, the calculation gives -4.270 eV/atom. The calculation puts the density of states at the Fermi level at 4.8 states/eV per cell.

The structure belongs to space group Pm-3m (No. 221); the cell edges are 5.244, 5.244 and 5.244 Å and the angles 90.00°, 90.00° and 90.00°. Symmetry generates all atoms from V at (0.000, 0.000, 0.000), Ge at (0.500, 0.500, 0.500) and Te at (0.000, 0.000, 0.500).

---

No. 7
VGeTe2 | PBE | optimized geometry

The value obtained for the volume is 31.3 Å³/atom. The formation energy from raw total energies comes out at 1.9 eV/f.u. As for the magnetization: 9.4 μB/cell. Its crystal system is trigonal. For the final energy, the calculation gives -4.527 eV/atom. The calculation puts the density of states at the Fermi level at 11.5 states/eV per cell.

The structure belongs to space group R-3m (No. 166, hexagonal axes); the cell edges are 4.1074, 4.1074 and 25.7121 Å and the angles 90.00°, 90.00° and 120.00°. Symmetry generates all atoms from V at (0.0000, 0.0000, 0.0000), Ge at (0.0000, 0.0000, 0.5000) and Te at (0.0000, 0.0000, 0.1014).

---

No. 8
V2GeTe | PBE | optimized geometry

The value obtained for the volume is 25.2 Å³/atom. The calculation puts the energy above the most stable polymorph in this dataset at 369 meV per atom. The formation energy from raw total energies comes out at 2.0 eV/f.u. As for the magnetization: 16.0 μB/cell. Its crystal system is tetragonal. For the final energy, the calculation gives -5.999 eV/atom. The calculation puts the density of states at the Fermi level at 20.4 states/eV per cell.

The structure belongs to space group I-42d (No. 122); the cell edges are 5.485, 5.485 and 13.396 Å and the angles 90.00°, 90.00° and 90.00°. Symmetry generates all atoms from V at (0.214, 0.250, 0.125), Ge at (0.000, 0.000, 0.000) and Te at (0.000, 0.000, 0.500).

---

No. 9
VGeTe3 | PBE | optimized geometry

The value obtained for the volume is 32.9 Å³/atom. The formation energy from raw total energies comes out at -0.2 eV/f.u. As for the magnetization: 4.0 μB/cell. Its crystal system is orthorhombic. For the final energy, the calculation gives -4.665 eV/atom. The calculation puts the density of states at the Fermi level at 9.0 states/eV per cell.

The structure belongs to space group Cmc2_1 (No. 36); the cell edges are 4.178, 22.366 and 7.032 Å and the angles 90.00°, 90.00° and 90.00°. Symmetry generates all atoms from V at (0.000, 0.121, 0.000), Ge at (0.000, 0.341, 0.906), Te at (0.000, 0.103, 0.647), Te at (0.000, 0.221, 0.173) and Te at (0.000, 0.436, 0.640).

---

No. 10
VGeTe2 | PBE | optimized geometry

The value obtained for the volume is 33.1 Å³/atom. The formation energy from raw total energies comes out at 0.5 eV/f.u. As for the magnetization: 12.0 μB/cell. Its crystal system is tetragonal. For the final energy, the calculation gives -4.873 eV/atom. The calculation puts the density of states at the Fermi level at 12.3 states/eV per cell.

The structure belongs to space group I-42d (No. 122); the cell edges are 6.474, 6.474 and 12.621 Å and the angles 90.00°, 90.00° and 90.00°. Symmetry generates all atoms from V at (0.000, 0.000, 0.000), Ge at (0.000, 0.000, 0.500) and Te at (0.224, 0.250, 0.125).

---

No. 11
VGeTe3 | PBE | optimized geometry

The value obtained for the volume is 30.7 Å³/atom. The formation energy from raw total energies comes out at 3.8 eV/f.u. As for the magnetization: 2.9 μB/cell. Its crystal system is cubic. For the final energy, the calculation gives -3.870 eV/atom. The calculation puts the density of states at the Fermi level at 5.3 states/eV per cell.

The structure belongs to space group Pm-3m (No. 221); the cell edges are 5.353, 5.353 and 5.353 Å and the angles 90.00°, 90.00° and 90.00°. Symmetry generates all atoms from V at (0.000, 0.000, 0.000), Ge at (0.500, 0.500, 0.500) and Te at (0.000, 0.500, 0.500).

---

No. 12
V3Ge5Te12 | PBE | optimized geometry

The value obtained for the volume is 29.8 Å³/atom. The formation energy from raw total energies comes out at 1.8 eV/f.u. As for the magnetization: 47.1 μB/cell. Its crystal system is cubic. For the final energy, the calculation gives -4.315 eV/atom. The calculation puts the density of states at the Fermi level at 102.3 states/eV per cell.

The structure belongs to space group Ia-3d (No. 230); the cell edges are 16.835, 16.835 and 16.835 Å and the angles 90.00°, 90.00° and 90.00°. Symmetry generates all atoms from V at (0.000, 0.250, 0.125), Ge at (0.000, 0.000, 0.000), Ge at (0.000, 0.250, 0.375) and Te at (0.016, 0.069, 0.656).